# Tb4CdHgO PBE relaxed
# Uncorrected energy: -0.333 Ry per atom
# Formation energy without anion corrections: -1.009 eV/atom
data_Tb4CdHgO
_chemical_formula_sum 'Tb16 Cd4 Hg4 O4'
_cell_length_a 6.741
_cell_length_b 15.252
_cell_length_c 6.752
_cell_angle_alpha 90.00
_cell_angle_beta 90.00
_cell_angle_gamma 90.00
_space_group_name_H-M_alt 'C m c m'
_space_group_IT_number 63
_space_group_name_Hall '-C 2c 2'
loop_
_atom_site_label
_atom_site_type_symbol
_atom_site_fract_x
_atom_site_fract_y
_atom_site_fract_z
Tb1 Tb 0.000 0.072 0.250
Tb2 Tb 0.000 0.423 0.250
Tb3 Tb 0.250 0.250 0.000
Cd1 Cd 0.000 0.382 0.750
Hg1 Hg 0.000 0.120 0.750
O1 O 0.000 0.252 0.250